a.
Density functional theory data (GGA-PBE) for Ag3BCl6 after structural relaxation.

Summary:
DOS(E_F) = 0.000 states/eV/atom
Crystal system = monoclinic

Lattice parameters (Å, degrees): 8.1805 7.0185 10.0926 90.00 108.65 90.00
Element x y z (fractional)
Ag: 0.0000 0.0000 0.0000
Ag: 0.0000 0.5000 0.5000
Ag: 0.0154 0.0028 0.6986
Ag: 0.0154 0.4972 0.1986
Ag: 0.9846 0.5028 0.8014
Ag: 0.9846 0.9972 0.3014
B: 0.5000 0.0000 0.5000
B: 0.5000 0.5000 0.0000
Cl: 0.1778 0.2149 0.5466
Cl: 0.1778 0.2851 0.0466
Cl: 0.2188 0.7360 0.8029
Cl: 0.2188 0.7640 0.3029
Cl: 0.4946 0.1432 0.3711
Cl: 0.4946 0.3568 0.8711
Cl: 0.5054 0.6432 0.1289
Cl: 0.5054 0.8568 0.6289
Cl: 0.7812 0.2360 0.6971
Cl: 0.7812 0.2640 0.1971
Cl: 0.8222 0.7149 0.9534
Cl: 0.8222 0.7851 0.4534

b.
Density functional theory data (GGA-PBE) for Ag3BCl6 after structural relaxation.

Summary:
DOS(E_F) = 0.000 states/eV/atom
Crystal system = orthorhombic

Lattice parameters (Å, degrees): 8.4554 8.4554 7.5013 90.00 90.00 100.19
Element x y z (fractional)
Ag: 0.0454 0.9546 0.5000
Ag: 0.2165 0.3869 0.5092
Ag: 0.3869 0.2165 0.0092
Ag: 0.6131 0.7835 0.5092
Ag: 0.7835 0.6131 0.0092
Ag: 0.9546 0.0454 0.0000
B: 0.3285 0.6715 0.8593
B: 0.6715 0.3285 0.3593
Cl: 0.1407 0.5777 0.9642
Cl: 0.1649 0.1715 0.2511
Cl: 0.1715 0.1649 0.7511
Cl: 0.2917 0.7083 0.6074
Cl: 0.4223 0.8593 0.9642
Cl: 0.4746 0.5254 0.8582
Cl: 0.5254 0.4746 0.3582
Cl: 0.5777 0.1407 0.4642
Cl: 0.7083 0.2917 0.1074
Cl: 0.8285 0.8351 0.2511
Cl: 0.8351 0.8285 0.7511
Cl: 0.8593 0.4223 0.4642

Relative energies in meV per atom: a 162; b 0

a.
Density functional theory data (GGA-PBE) for AgBPCl2 after structural relaxation.

Summary:
DOS(E_F) = 0.694 states/eV/atom
Crystal system = tetragonal

Lattice parameters (Å, degrees): 5.2994 5.2994 3.5304 90.00 90.00 90.00
Element x y z (fractional)
Ag: 0.0000 0.0000 0.0000
B: 0.5000 0.5000 0.5000
P: 0.5000 0.5000 0.0000
Cl: 0.0000 0.5000 0.5000
Cl: 0.5000 0.0000 0.5000

b.
Density functional theory data (GGA-PBE) for AgBPCl2 after structural relaxation.

Summary:
DOS(E_F) = 0.506 states/eV/atom
Crystal system = tetragonal

Lattice parameters (Å, degrees): 5.1455 5.1455 4.8598 90.00 90.00 90.00
Element x y z (fractional)
Ag: 0.0000 0.0000 0.0000
B: 0.5000 0.5000 0.5000
P: 0.0000 0.0000 0.5000
Cl: 0.0000 0.5000 0.0000
Cl: 0.5000 0.0000 0.0000

Relative energies in meV per atom: a 0; b 706

a.
Density functional theory data (GGA-PBE) for CoAg2B2 after structural relaxation.

Summary:
DOS(E_F) = 0.806 states/eV/atom
Crystal system = tetragonal

Lattice parameters (Å, degrees): 2.7266 2.7266 16.4527 90.00 90.00 90.00
Element x y z (fractional)
Co: 0.0000 0.0000 0.0000
Co: 0.5000 0.5000 0.5000
Ag: 0.0000 0.0000 0.3792
Ag: 0.0000 0.0000 0.6208
Ag: 0.5000 0.5000 0.1208
Ag: 0.5000 0.5000 0.8792
B: 0.0000 0.5000 0.2500
B: 0.0000 0.5000 0.7500
B: 0.5000 0.0000 0.2500
B: 0.5000 0.0000 0.7500

b.
Density functional theory data (GGA-PBE) for CoAg2B2 after structural relaxation.

Summary:
DOS(E_F) = 0.680 states/eV/atom
Crystal system = tetragonal

Lattice parameters (Å, degrees): 6.8389 6.8389 2.6619 90.00 90.00 90.00
Element x y z (fractional)
Co: 0.0000 0.0000 0.0000
Co: 0.5000 0.5000 0.0000
Ag: 0.1402 0.3598 0.0000
Ag: 0.3598 0.8598 0.0000
Ag: 0.6402 0.1402 0.0000
Ag: 0.8598 0.6402 0.0000
B: 0.1686 0.6686 0.5000
B: 0.3314 0.1686 0.5000
B: 0.6686 0.8314 0.5000
B: 0.8314 0.3314 0.5000

Relative energies in meV per atom: a 0; b 460

a.
Density functional theory data (GGA-PBE) for CoAg3B after structural relaxation.

Summary:
DOS(E_F) = 0.816 states/eV/atom
Crystal system = cubic

Lattice parameters (Å, degrees): 4.2985 4.2985 4.2985 90.00 90.00 90.00
Element x y z (fractional)
Co: 0.0000 0.0000 0.0000
Ag: 0.0000 0.5000 0.5000
Ag: 0.5000 0.0000 0.5000
Ag: 0.5000 0.5000 0.0000
B: 0.5000 0.5000 0.5000

b.
Density functional theory data (GGA-PBE) for CoAg3B after structural relaxation.

Summary:
DOS(E_F) = 2.637 states/eV/atom
Crystal system = cubic

Lattice parameters (Å, degrees): 4.8049 4.8049 4.8049 90.00 90.00 90.00
Element x y z (fractional)
Co: 0.0000 0.0000 0.0000
Ag: 0.0000 0.0000 0.5000
Ag: 0.0000 0.5000 0.0000
Ag: 0.5000 0.0000 0.0000
B: 0.5000 0.5000 0.5000

Relative energies in meV per atom: a 0; b 987

a.
Density functional theory data (GGA-PBE) for CoAgB3 after structural relaxation.

Summary:
DOS(E_F) = 0.276 states/eV/atom
Crystal system = cubic

Lattice parameters (Å, degrees): 3.8174 3.8174 3.8174 90.00 90.00 90.00
Element x y z (fractional)
Co: 0.0000 0.0000 0.0000
Ag: 0.5000 0.5000 0.5000
B: 0.0000 0.0000 0.5000
B: 0.0000 0.5000 0.0000
B: 0.5000 0.0000 0.0000

b.
Density functional theory data (GGA-PBE) for CoAgB3 after structural relaxation.

Summary:
DOS(E_F) = 0.908 states/eV/atom
Crystal system = cubic

Lattice parameters (Å, degrees): 4.0913 4.0913 4.0913 90.00 90.00 90.00
Element x y z (fractional)
Co: 0.0000 0.0000 0.0000
Ag: 0.5000 0.5000 0.5000
B: 0.0000 0.5000 0.5000
B: 0.5000 0.0000 0.5000
B: 0.5000 0.5000 0.0000

Relative energies in meV per atom: a 0; b 1442

a.
Density functional theory data (GGA-PBE) for CoAg2B after structural relaxation.

Summary:
DOS(E_F) = 1.121 states/eV/atom
Crystal system = tetragonal

Lattice parameters (Å, degrees): 3.6160 3.6160 18.0625 90.00 90.00 90.00
Element x y z (fractional)
Co: 0.0000 0.0000 0.0000
Co: 0.0000 0.5000 0.2500
Co: 0.5000 0.0000 0.7500
Co: 0.5000 0.5000 0.5000
Ag: 0.2443 0.2500 0.6250
Ag: 0.2500 0.7443 0.8750
Ag: 0.2500 0.7557 0.3750
Ag: 0.2557 0.2500 0.1250
Ag: 0.7443 0.7500 0.1250
Ag: 0.7500 0.2443 0.3750
Ag: 0.7500 0.2557 0.8750
Ag: 0.7557 0.7500 0.6250
B: 0.0000 0.0000 0.5000
B: 0.0000 0.5000 0.7500
B: 0.5000 0.0000 0.2500
B: 0.5000 0.5000 0.0000

b.
Density functional theory data (GGA-PBE) for CoAg2B after structural relaxation.

Summary:
DOS(E_F) = 0.897 states/eV/atom
Crystal system = cubic

Lattice parameters (Å, degrees): 5.9754 5.9754 5.9754 90.00 90.00 90.00
Element x y z (fractional)
Co: 0.0000 0.0000 0.0000
Co: 0.0000 0.5000 0.5000
Co: 0.5000 0.0000 0.5000
Co: 0.5000 0.5000 0.0000
Ag: 0.2500 0.2500 0.2500
Ag: 0.2500 0.2500 0.7500
Ag: 0.2500 0.7500 0.2500
Ag: 0.2500 0.7500 0.7500
Ag: 0.7500 0.2500 0.2500
Ag: 0.7500 0.2500 0.7500
Ag: 0.7500 0.7500 0.2500
Ag: 0.7500 0.7500 0.7500
B: 0.0000 0.0000 0.5000
B: 0.0000 0.5000 0.0000
B: 0.5000 0.0000 0.0000
B: 0.5000 0.5000 0.5000

Relative energies in meV per atom: a 113; b 0

a.
Density functional theory data (GGA-PBE) for CrAgB2 after structural relaxation.

Summary:
DOS(E_F) = 0.603 states/eV/atom
Crystal system = cubic

Lattice parameters (Å, degrees): 5.4475 5.4475 5.4475 90.00 90.00 90.00
Element x y z (fractional)
Cr: 0.0000 0.0000 0.0000
Cr: 0.0000 0.5000 0.5000
Cr: 0.5000 0.0000 0.5000
Cr: 0.5000 0.5000 0.0000
Ag: 0.0000 0.0000 0.5000
Ag: 0.0000 0.5000 0.0000
Ag: 0.5000 0.0000 0.0000
Ag: 0.5000 0.5000 0.5000
B: 0.2500 0.2500 0.2500
B: 0.2500 0.2500 0.7500
B: 0.2500 0.7500 0.2500
B: 0.2500 0.7500 0.7500
B: 0.7500 0.2500 0.2500
B: 0.7500 0.2500 0.7500
B: 0.7500 0.7500 0.2500
B: 0.7500 0.7500 0.7500

b.
Density functional theory data (GGA-PBE) for CrAgB2 after structural relaxation.

Summary:
DOS(E_F) = 0.644 states/eV/atom
Crystal system = tetragonal

Lattice parameters (Å, degrees): 5.7138 5.7138 5.5782 90.00 90.00 90.00
Element x y z (fractional)
Cr: 0.0000 0.0000 0.0000
Cr: 0.0000 0.5000 0.2500
Cr: 0.5000 0.0000 0.7500
Cr: 0.5000 0.5000 0.5000
Ag: 0.0000 0.0000 0.5000
Ag: 0.0000 0.5000 0.7500
Ag: 0.5000 0.0000 0.2500
Ag: 0.5000 0.5000 0.0000
B: 0.2184 0.2500 0.1250
B: 0.2500 0.7184 0.3750
B: 0.2500 0.7816 0.8750
B: 0.2816 0.2500 0.6250
B: 0.7184 0.7500 0.6250
B: 0.7500 0.2184 0.8750
B: 0.7500 0.2816 0.3750
B: 0.7816 0.7500 0.1250

Relative energies in meV per atom: a 29; b 0

a.
Density functional theory data (GGA-PBE) for Cr3AgB after structural relaxation.

Summary:
DOS(E_F) = 0.986 states/eV/atom
Crystal system = cubic

Lattice parameters (Å, degrees): 3.9483 3.9483 3.9483 90.00 90.00 90.00
Element x y z (fractional)
Cr: 0.0000 0.0000 0.5000
Cr: 0.0000 0.5000 0.0000
Cr: 0.5000 0.0000 0.0000
Ag: 0.5000 0.5000 0.5000
B: 0.0000 0.0000 0.0000

b.
Density functional theory data (GGA-PBE) for Cr3AgB after structural relaxation.

Summary:
DOS(E_F) = 2.069 states/eV/atom
Crystal system = cubic

Lattice parameters (Å, degrees): 4.9607 4.9607 4.9607 90.00 90.00 90.00
Element x y z (fractional)
Cr: 0.0000 0.0000 0.5000
Cr: 0.0000 0.5000 0.0000
Cr: 0.5000 0.0000 0.0000
Ag: 0.0000 0.0000 0.0000
B: 0.5000 0.5000 0.5000

Relative energies in meV per atom: a 0; b 1910

a.
Density functional theory data (GGA-PBE) for CrAgB3 after structural relaxation.

Summary:
DOS(E_F) = 0.553 states/eV/atom
Crystal system = cubic

Lattice parameters (Å, degrees): 3.9248 3.9248 3.9248 90.00 90.00 90.00
Element x y z (fractional)
Cr: 0.0000 0.0000 0.0000
Ag: 0.5000 0.5000 0.5000
B: 0.0000 0.0000 0.5000
B: 0.0000 0.5000 0.0000
B: 0.5000 0.0000 0.0000

b.
Density functional theory data (GGA-PBE) for CrAgB3 after structural relaxation.

Summary:
DOS(E_F) = 1.375 states/eV/atom
Crystal system = cubic

Lattice parameters (Å, degrees): 4.0586 4.0586 4.0586 90.00 90.00 90.00
Element x y z (fractional)
Cr: 0.0000 0.0000 0.0000
Ag: 0.5000 0.5000 0.5000
B: 0.0000 0.5000 0.5000
B: 0.5000 0.0000 0.5000
B: 0.5000 0.5000 0.0000

Relative energies in meV per atom: a 0; b 1298

a.
Density functional theory data (GGA-PBE) for CsAg3B after structural relaxation.

Summary:
DOS(E_F) = 0.524 states/eV/atom
Crystal system = cubic

Lattice parameters (Å, degrees): 4.8102 4.8102 4.8102 90.00 90.00 90.00
Element x y z (fractional)
Cs: 0.0000 0.0000 0.0000
Ag: 0.0000 0.5000 0.5000
Ag: 0.5000 0.0000 0.5000
Ag: 0.5000 0.5000 0.0000
B: 0.5000 0.5000 0.5000

b.
Density functional theory data (GGA-PBE) for CsAg3B after structural relaxation.

Summary:
DOS(E_F) = 1.860 states/eV/atom
Crystal system = cubic

Lattice parameters (Å, degrees): 6.3823 6.3823 6.3823 90.00 90.00 90.00
Element x y z (fractional)
Cs: 0.0000 0.0000 0.0000
Ag: 0.0000 0.0000 0.5000
Ag: 0.0000 0.5000 0.0000
Ag: 0.5000 0.0000 0.0000
B: 0.5000 0.5000 0.5000

Relative energies in meV per atom: a 0; b 1663

a.
Density functional theory data (GGA-PBE) for Cs2AgB after structural relaxation.

Summary:
DOS(E_F) = 1.443 states/eV/atom
Crystal system = tetragonal

Lattice parameters (Å, degrees): 7.6210 7.6210 18.2547 90.00 90.00 90.00
Element x y z (fractional)
Cs: 0.2090 0.2500 0.1250
Cs: 0.2500 0.7090 0.3750
Cs: 0.2500 0.7910 0.8750
Cs: 0.2910 0.2500 0.6250
Cs: 0.7090 0.7500 0.6250
Cs: 0.7500 0.2090 0.8750
Cs: 0.7500 0.2910 0.3750
Cs: 0.7910 0.7500 0.1250
Ag: 0.0000 0.0000 0.5000
Ag: 0.0000 0.5000 0.7500
Ag: 0.5000 0.0000 0.2500
Ag: 0.5000 0.5000 0.0000
B: 0.0000 0.0000 0.0000
B: 0.0000 0.5000 0.2500
B: 0.5000 0.0000 0.7500
B: 0.5000 0.5000 0.5000

b.
Density functional theory data (GGA-PBE) for Cs2AgB after structural relaxation.

Summary:
DOS(E_F) = 1.081 states/eV/atom
Crystal system = cubic

Lattice parameters (Å, degrees): 8.7033 8.7033 8.7033 90.00 90.00 90.00
Element x y z (fractional)
Cs: 0.2500 0.2500 0.2500
Cs: 0.2500 0.2500 0.7500
Cs: 0.2500 0.7500 0.2500
Cs: 0.2500 0.7500 0.7500
Cs: 0.7500 0.2500 0.2500
Cs: 0.7500 0.2500 0.7500
Cs: 0.7500 0.7500 0.2500
Cs: 0.7500 0.7500 0.7500
Ag: 0.0000 0.0000 0.0000
Ag: 0.0000 0.5000 0.5000
Ag: 0.5000 0.0000 0.5000
Ag: 0.5000 0.5000 0.0000
B: 0.0000 0.0000 0.5000
B: 0.0000 0.5000 0.0000
B: 0.5000 0.0000 0.0000
B: 0.5000 0.5000 0.5000

Relative energies in meV per atom: a 129; b 0

a.
Density functional theory data (GGA-PBE) for CuAg3B after structural relaxation.

Summary:
DOS(E_F) = 0.311 states/eV/atom
Crystal system = cubic

Lattice parameters (Å, degrees): 4.7877 4.7877 4.7877 90.00 90.00 90.00
Element x y z (fractional)
Cu: 0.0000 0.0000 0.0000
Ag: 0.0000 0.0000 0.5000
Ag: 0.0000 0.5000 0.0000
Ag: 0.5000 0.0000 0.0000
B: 0.5000 0.5000 0.5000

b.
Density functional theory data (GGA-PBE) for CuAg3B after structural relaxation.

Summary:
DOS(E_F) = 0.485 states/eV/atom
Crystal system = cubic

Lattice parameters (Å, degrees): 4.3135 4.3135 4.3135 90.00 90.00 90.00
Element x y z (fractional)
Cu: 0.0000 0.0000 0.0000
Ag: 0.0000 0.5000 0.5000
Ag: 0.5000 0.0000 0.5000
Ag: 0.5000 0.5000 0.0000
B: 0.5000 0.5000 0.5000

Relative energies in meV per atom: a 903; b 0

a.
Density functional theory data (GGA-PBE) for AgBF3 after structural relaxation.

Summary:
DOS(E_F) = 0.159 states/eV/atom
Crystal system = cubic

Lattice parameters (Å, degrees): 3.8073 3.8073 3.8073 90.00 90.00 90.00
Element x y z (fractional)
Ag: 0.0000 0.0000 0.0000
B: 0.5000 0.5000 0.5000
F: 0.0000 0.5000 0.5000
F: 0.5000 0.0000 0.5000
F: 0.5000 0.5000 0.0000

b.
Density functional theory data (GGA-PBE) for AgBF3 after structural relaxation.

Summary:
DOS(E_F) = 0.247 states/eV/atom
Crystal system = cubic

Lattice parameters (Å, degrees): 4.1845 4.1845 4.1845 90.00 90.00 90.00
Element x y z (fractional)
Ag: 0.0000 0.0000 0.0000
B: 0.5000 0.5000 0.5000
F: 0.0000 0.0000 0.5000
F: 0.0000 0.5000 0.0000
F: 0.5000 0.0000 0.0000

Relative energies in meV per atom: a 0; b 717